# NbGaTe3 (GGA-PBEsol, optimized geometry)
# Total moment   0.000 Bohr magnetons per cell
# Uncorrected formation energy   0.1483 eV per atom
data_NbGaTe3
_chemical_formula_sum 'Nb1 Ga1 Te3'
_cell_length_a 5.391
_cell_length_b 5.391
_cell_length_c 5.391
_cell_angle_alpha 90.00
_cell_angle_beta 90.00
_cell_angle_gamma 90.00
_symmetry_space_group_name_H-M 'P 1'
_symmetry_Int_Tables_number 1
loop_
_symmetry_equiv_pos_as_xyz
'x,y,z'
loop_
_atom_site_label
_atom_site_type_symbol
_atom_site_fract_x
_atom_site_fract_y
_atom_site_fract_z
Ga1 Ga 0.500 0.500 0.500
Te1 Te 0.000 0.000 0.500
Te2 Te 0.500 0.000 0.000
Te3 Te 0.000 0.500 0.000
Nb1 Nb 0.000 0.000 0.000

***

# NaCd2Ag2 (GGA-PBEsol, optimized geometry)
# Energy of formation from the pure elements   -75 meV per atom
# Energy relative to the lowest polymorph listed for this composition   0.0 meV/atom
# Total moment   0.000 Bohr magnetons per cell
data_NaCd2Ag2
_chemical_formula_sum 'Na2 Cd4 Ag4'
_cell_length_a 3.035
_cell_length_b 8.144
_cell_length_c 8.144
_cell_angle_alpha 90.00
_cell_angle_beta 90.00
_cell_angle_gamma 90.00
_symmetry_space_group_name_H-M 'P 1'
_symmetry_Int_Tables_number 1
loop_
_symmetry_equiv_pos_as_xyz
'x,y,z'
loop_
_atom_site_label
_atom_site_type_symbol
_atom_site_fract_x
_atom_site_fract_y
_atom_site_fract_z
Ag1 Ag 0.500 0.169 0.669
Ag2 Ag 0.500 0.669 0.831
Ag3 Ag 0.500 0.831 0.331
Ag4 Ag 0.500 0.331 0.169
Na1 Na 0.000 0.000 0.000
Na2 Na 0.000 0.500 0.500
Cd1 Cd 0.000 0.371 0.871
Cd2 Cd 0.000 0.129 0.371
Cd3 Cd 0.000 0.629 0.129
Cd4 Cd 0.000 0.871 0.629

***

# SnSeCl2 (GGA-PBEsol, optimized geometry)
# Total moment   0.001 Bohr magnetons per cell
# Uncorrected formation energy   -0.2008 eV per atom
data_SnSeCl2
_chemical_formula_sum 'Sn1 Se1 Cl2'
_cell_length_a 3.350
_cell_length_b 3.350
_cell_length_c 9.647
_cell_angle_alpha 80.00
_cell_angle_beta 80.00
_cell_angle_gamma 60.00
_symmetry_space_group_name_H-M 'P 1'
_symmetry_Int_Tables_number 1
loop_
_symmetry_equiv_pos_as_xyz
'x,y,z'
loop_
_atom_site_label
_atom_site_type_symbol
_atom_site_fract_x
_atom_site_fract_y
_atom_site_fract_z
Cl1 Cl 0.916 0.916 0.253
Cl2 Cl 0.084 0.084 0.747
Se1 Se 0.000 0.000 0.000
Sn1 Sn 0.500 0.500 0.500

***

Number 1: raw total energy -24.00 eV per cell. Number 2: raw total energy -21.59 eV per cell. Number 3: raw total energy -12.93 eV per cell.